# HoThZnNi | the Alexandria database | PBE | relaxed
data_HoThZnNi
_chemical_formula_sum 'Ho4 Th4 Zn4 Ni4'
_symmetry_space_group_name_H-M 'F -4 3 m'
_symmetry_Int_Tables_number 216
_symmetry_space_group_name_Hall 'F -4 2 3'
_cell_length_a 7.065
_cell_length_b 7.065
_cell_length_c 7.065
_cell_angle_alpha 90.00
_cell_angle_beta 90.00
_cell_angle_gamma 90.00
loop_
_atom_site_label
_atom_site_fract_x
_atom_site_fract_y
_atom_site_fract_z
_atom_site_occupancy
Ho1 0.000 0.000 0.000 1
Th1 0.000 0.000 0.500 1
Zn1 0.250 0.250 0.750 1
Ni1 0.250 0.250 0.250 1
# - E_form: -1.014 eV per formula unit
# - Mass density: 9.81 Mg/m³
# - Total magnetic moment: 0.0 μB/cell